The following is a DFT calculation (GGA-PBE) of Pr2HoHfAs4 after structural relaxation.

CIF file:
```
data_Pr2HoHfAs4
_chemical_formula_sum 'Pr2 Ho1 Hf1 As4'
_symmetry_space_group_name_H-M 'P 1 2/m 1'
_symmetry_Int_Tables_number 10
_symmetry_space_group_name_Hall '-P 2y'
_cell_length_a 7.1338
_cell_length_b 4.1168
_cell_length_c 7.1588
_cell_angle_alpha 90.00
_cell_angle_beta 109.23
_cell_angle_gamma 90.00
loop_
_atom_site_label
_atom_site_fract_x
_atom_site_fract_y
_atom_site_fract_z
Pr1 0.0000 0.0000 0.0000
Pr2 0.5000 0.5000 0.0000
Ho1 0.0000 0.5000 0.5000
Hf1 0.5000 0.0000 0.5000
As1 0.2526 0.0000 0.7300
As2 0.2668 0.5000 0.2753
```

Values from the calculation:
- Formation energy from the elements: -1.37 eV/atom
- Theoretical density: 7.737 g/cm³
- E_tot: -6.71 eV/atom